a) Material: SrIn2Hg6
Method: DFT, PBE-GGA
State: optimized geometry

Output
DOS at the Fermi energy, states/eV/f.u.: 3.198
Total magnetic moment, Bohr magnetons per cell: 0.0
SG: Immm (71)

```
9
Lattice="-1.780 4.554 7.565 1.780 -4.554 7.565 1.780 4.554 -7.565" Properties=species:S:1:pos:R:3 pbc="T T T"
Sr 0.000 0.000 0.000
In 1.780 0.000 5.342
In 0.000 4.554 2.223
Hg 1.780 -1.549 2.663
Hg 1.780 2.965 0.000
Hg 1.780 1.549 2.663
Hg 0.000 3.005 4.901
Hg 0.000 1.589 7.565
Hg 0.000 6.103 4.901
```

b) Material: SrIn2Hg6
Method: DFT, PBE-GGA
State: optimized geometry

Output
DOS at the Fermi energy, states/eV/f.u.: 4.081
Total magnetic moment, Bohr magnetons per cell: 0.0
SG: P6/mmm (191)

```
9
Lattice="6.465 0.000 0.000 -3.233 5.599 0.000 0.000 0.000 7.903" Properties=species:S:1:pos:R:3 pbc="T T T"
Sr 0.000 0.000 0.000
In 0.000 3.733 3.952
In 3.233 1.866 3.952
Hg -1.616 2.800 1.482
Hg -1.616 2.800 6.421
Hg 3.233 0.000 1.482
Hg 3.233 0.000 6.421
Hg 1.616 2.800 1.482
Hg 1.616 2.800 6.421
```

Which of them is the least stable? Correct choice: b).

a) Material: Ta3InHg
Method: DFT, PBE-GGA
State: optimized geometry

Output
DOS at the Fermi energy, states/eV/f.u.: 3.185
Total magnetic moment, Bohr magnetons per cell: 0.0
SG: Pm-3m (221)

```
5
Lattice="5.027 0.000 0.000 0.000 5.027 0.000 0.000 0.000 5.027" Properties=species:S:1:pos:R:3 pbc="T T T"
Ta 0.000 0.000 2.513
Ta 0.000 2.513 0.000
Ta 2.513 0.000 0.000
In 2.513 2.513 2.513
Hg 0.000 0.000 0.000
```

b) Material: Ta3InHg
Method: DFT, PBE-GGA
State: optimized geometry

Output
DOS at the Fermi energy, states/eV/f.u.: 1.174
Total magnetic moment, Bohr magnetons per cell: 0.0
SG: Pm-3m (221)

```
5
Lattice="4.999 0.000 0.000 0.000 4.999 0.000 0.000 0.000 4.999" Properties=species:S:1:pos:R:3 pbc="T T T"
Ta 0.000 0.000 2.499
Ta 0.000 2.499 0.000
Ta 2.499 0.000 0.000
In 0.000 0.000 0.000
Hg 2.499 2.499 2.499
```

Which of them is the least stable? Correct choice: b).

a) Material: Tb4InHg2
Method: DFT, PBE-GGA
State: optimized geometry

Output
DOS at the Fermi energy, states/eV/f.u.: 8.248
Total magnetic moment, Bohr magnetons per cell: 0.0
SG: R-3m (166)

```
7
Lattice="2.591 1.496 9.186 -2.591 1.496 9.186 0.000 -2.991 9.186" Properties=species:S:1:pos:R:3 pbc="T T T"
Tb 0.000 0.000 3.474
Tb 0.000 0.000 7.883
Tb 0.000 0.000 19.675
Tb 0.000 0.000 24.083
In 0.000 0.000 13.779
Hg 0.000 0.000 10.890
Hg 0.000 0.000 16.667
```

b) Material: Tb4InHg2
Method: DFT, PBE-GGA
State: optimized geometry

Output
DOS at the Fermi energy, states/eV/f.u.: 8.745
Total magnetic moment, Bohr magnetons per cell: 0.6
SG: R-3m (166)

```
7
Lattice="2.617 1.511 8.385 -2.617 1.511 8.385 0.000 -3.022 8.385" Properties=species:S:1:pos:R:3 pbc="T T T"
Tb 0.000 0.000 2.924
Tb 0.000 0.000 9.303
Tb 0.000 0.000 15.852
Tb 0.000 0.000 22.231
In 0.000 0.000 12.577
Hg 0.000 0.000 6.203
Hg 0.000 0.000 18.951
```

Which of them is the least stable? Correct choice: a).

a) Material: Tb4In3Hg
Method: DFT, PBE-GGA
State: optimized geometry

Output
DOS at the Fermi energy, states/eV/f.u.: 6.339
Total magnetic moment, Bohr magnetons per cell: 0.2
SG: Pmm2 (25)

```
8
Lattice="3.827 0.000 0.000 0.000 4.796 0.000 0.000 0.000 12.028" Properties=species:S:1:pos:R:3 pbc="T T T"
Tb 0.000 0.000 0.000
Tb 0.000 2.398 3.633
Tb 1.914 0.000 5.942
Tb 1.914 2.398 9.706
In 0.000 0.000 8.783
In 0.000 2.398 6.877
In 1.914 2.398 0.889
Hg 1.914 0.000 2.808
```

b) Material: Tb4In3Hg
Method: DFT, PBE-GGA
State: optimized geometry

Output
DOS at the Fermi energy, states/eV/f.u.: 7.533
Total magnetic moment, Bohr magnetons per cell: 0.0
SG: P4/mmm (123)

```
8
Lattice="3.765 0.000 0.000 0.000 3.765 0.000 0.000 0.000 15.086" Properties=species:S:1:pos:R:3 pbc="T T T"
Tb 0.000 0.000 1.832
Tb 0.000 0.000 5.643
Tb 0.000 0.000 9.443
Tb 0.000 0.000 13.254
In 1.883 1.883 3.736
In 1.883 1.883 7.543
In 1.883 1.883 11.350
Hg 1.883 1.883 0.000
```

Which of them is the least stable? Correct choice: a).

a) Material: Tb3InHg3
Method: DFT, PBE-GGA
State: optimized geometry

Output
DOS at the Fermi energy, states/eV/f.u.: 5.003
Total magnetic moment, Bohr magnetons per cell: 0.0
SG: C2/m (12)

```
14
Lattice="5.048 -5.099 0.000 5.048 5.099 0.000 -0.016 0.000 7.405" Properties=species:S:1:pos:R:3 pbc="T T T"
Tb 2.488 2.052 5.548
Tb 0.647 0.000 1.826
Tb 2.488 -2.052 5.548
Tb 7.592 2.052 1.857
Tb 9.433 0.000 5.579
Tb 7.592 -2.052 1.857
In 3.512 0.000 0.395
In 6.568 0.000 7.011
Hg 5.048 2.630 0.000
Hg 5.040 2.631 3.703
Hg 3.373 0.000 3.360
Hg 6.707 0.000 4.046
Hg 5.048 -2.630 0.000
Hg 5.040 -2.631 3.703
```

b) Material: Tb3InHg3
Method: DFT, PBE-GGA
State: optimized geometry

Output
DOS at the Fermi energy, states/eV/f.u.: 6.020
Total magnetic moment, Bohr magnetons per cell: 0.0
SG: P6_3/m (176)

```
14
Lattice="9.180 0.000 0.000 -4.590 7.950 0.000 0.000 0.000 5.103" Properties=species:S:1:pos:R:3 pbc="T T T"
Tb -2.074 5.211 1.276
Tb 1.114 3.548 1.276
Tb 3.630 0.809 3.827
Tb 0.960 7.141 1.276
Tb 3.475 4.402 3.827
Tb 6.664 2.739 3.827
In 0.000 5.300 3.827
In 4.590 2.650 1.276
Hg -3.318 6.364 3.827
Hg 0.737 1.894 3.827
Hg 2.009 0.308 1.276
Hg 2.581 7.642 3.827
Hg 3.852 6.056 1.276
Hg 7.908 1.586 1.276
```

Which of them is the least stable? Correct choice: a).

a) Material: TbIn3Hg
Method: DFT, PBE-GGA
State: optimized geometry

Output
DOS at the Fermi energy, states/eV/f.u.: 3.203
Total magnetic moment, Bohr magnetons per cell: 0.0
SG: Pmma (51)

```
10
Lattice="10.977 0.000 0.000 0.000 3.318 0.000 0.000 0.000 7.703" Properties=species:S:1:pos:R:3 pbc="T T T"
Tb 2.744 0.000 0.655
Tb 8.233 0.000 7.048
In 0.000 1.659 0.000
In 1.163 1.659 2.999
In 4.326 1.659 2.999
In 5.489 1.659 0.000
In 6.652 1.659 4.705
In 9.814 1.659 4.705
Hg 2.744 1.659 5.646
Hg 8.233 1.659 2.058
```

b) Material: TbIn3Hg
Method: DFT, PBE-GGA
State: optimized geometry

Output
DOS at the Fermi energy, states/eV/f.u.: 2.740
Total magnetic moment, Bohr magnetons per cell: 0.0
SG: Cmcm (63)

```
10
Lattice="4.770 -5.495 0.000 4.770 5.495 0.000 0.000 0.000 5.678" Properties=species:S:1:pos:R:3 pbc="T T T"
Tb 4.770 3.001 4.258
Tb 4.770 -3.001 1.419
In 3.120 2.200 1.419
In 6.419 2.200 1.419
In 4.770 0.000 0.000
In 4.770 0.000 2.839
In 3.120 -2.200 4.258
In 6.419 -2.200 4.258
Hg 4.770 4.860 1.419
Hg 4.770 -4.860 4.258
```

Which of them is the least stable? Correct choice: b).